LaCuRu | GGA-PBE | relaxed

Cell lengths 4.240, 4.240, 4.074 Å; angles 90.00, 90.00, 120.00 degrees
Atoms (fractional coordinates):
La (0.000, 0.000, 0.000)
Cu (0.333, 0.667, 0.500)
Ru (0.667, 0.333, 0.500)

Output
Electronic total energy, eV/atom: -6.142
Relative energy among the computed polymorphs, eV per atom: 0.149
SG: No. 187

=====

LaCuRu2 | GGA-PBE | relaxed

Cell lengths 5.643, 5.643, 5.643 Å; angles 45.05, 45.05, 45.05 degrees
Atoms (fractional coordinates):
La (0.000, 0.000, 0.000)
Cu (0.800, 0.800, 0.800)
Ru (0.191, 0.191, 0.191)
Ru (0.516, 0.516, 0.516)

Output
Electronic total energy, eV/atom: -6.946
Relative energy among the computed polymorphs, eV per atom: 0.000
SG: No. 160

=====

LaCuRu2 | GGA-PBE | relaxed

Cell lengths 5.603, 5.603, 5.603 Å; angles 147.58, 130.15, 60.73 degrees
Atoms (fractional coordinates):
La (0.000, 0.000, 0.000)
Cu (0.723, 0.223, 0.500)
Ru (0.271, 0.771, 0.500)
Ru (0.495, 0.495, 0.000)

Output
Electronic total energy, eV/atom: -6.578
Relative energy among the computed polymorphs, eV per atom: 0.367
SG: No. 44

=====

LaCuRu | GGA-PBE | relaxed

Cell lengths 5.352, 5.352, 5.352 Å; angles 141.20, 141.20, 56.04 degrees
Atoms (fractional coordinates):
La (0.000, 0.000, 0.000)
Cu (0.296, 0.296, 0.000)
Ru (0.724, 0.724, 0.000)

Output
Electronic total energy, eV/atom: -6.046
Relative energy among the computed polymorphs, eV per atom: 0.246
SG: No. 107

=====

LaCuRu3 | GGA-PBE | relaxed

Cell lengths 4.584, 4.584, 4.584 Å; angles 90.00, 90.00, 90.00 degrees
Atoms (fractional coordinates):
La (0.000, 0.000, 0.000)
Cu (0.500, 0.500, 0.500)
Ru (0.000, 0.500, 0.500)
Ru (0.500, 0.000, 0.500)
Ru (0.500, 0.500, 0.000)

Output
Electronic total energy, eV/atom: -6.523
Relative energy among the computed polymorphs, eV per atom: 0.000
SG: No. 221

=====

LaCuRu2 | GGA-PBE | relaxed

Cell lengths 4.903, 4.903, 4.903 Å; angles 128.41, 128.41, 75.96 degrees
Atoms (fractional coordinates):
La (0.000, 0.000, 0.000)
Cu (0.750, 0.250, 0.500)
Ru (0.250, 0.750, 0.500)
Ru (0.500, 0.500, 0.000)

Output
Electronic total energy, eV/atom: -6.605
Relative energy among the computed polymorphs, eV per atom: 0.340
SG: No. 119

=====

La2Cu3Ru | GGA-PBE | relaxed

Cell lengths 5.562, 5.562, 7.324 Å; angles 127.31, 127.31, 45.18 degrees
Atoms (fractional coordinates):
La (0.000, 0.000, 0.000)
La (0.089, 0.089, 0.592)
Cu (0.387, 0.387, 0.205)
Cu (0.717, 0.717, 0.408)
Cu (0.723, 0.723, 0.037)
Ru (0.416, 0.416, 0.630)

Output
Electronic total energy, eV/atom: -5.399
SG: No. 8

=====

LaCuRu2 | GGA-PBE | relaxed

Cell lengths 2.895, 3.749, 6.626 Å; angles 90.00, 90.00, 90.00 degrees
Atoms (fractional coordinates):
La (0.000, 0.000, 0.000)
Cu (0.500, 0.500, 0.690)
Ru (0.000, 0.000, 0.475)
Ru (0.500, 0.500, 0.311)

Output
Electronic total energy, eV/atom: -6.719
Relative energy among the computed polymorphs, eV per atom: 0.227
SG: No. 25

=====

LaCuRu2 | GGA-PBE | relaxed

Cell lengths 5.407, 5.407, 2.982 Å; angles 104.63, 104.63, 116.19 degrees
Atoms (fractional coordinates):
La (0.000, 0.000, 0.000)
Cu (0.500, 0.500, 0.000)
Ru (0.000, 0.500, 0.500)
Ru (0.500, 0.000, 0.500)

Output
Electronic total energy, eV/atom: -6.592
Relative energy among the computed polymorphs, eV per atom: 0.353
SG: No. 12

=====

La3Cu4Ru2 | GGA-PBE | relaxed

Cell lengths 5.897, 5.897, 8.402 Å; angles 104.35, 104.35, 42.27 degrees
Atoms (fractional coordinates):
La (0.000, 0.000, 0.000)
La (0.324, 0.324, 0.347)
La (0.676, 0.676, 0.653)
Cu (0.044, 0.044, 0.382)
Cu (0.276, 0.276, 0.947)
Cu (0.724, 0.724, 0.053)
Cu (0.956, 0.956, 0.618)
Ru (0.391, 0.391, 0.728)
Ru (0.609, 0.609, 0.272)

Output
Electronic total energy, eV/atom: -5.664
SG: No. 12

=====

LaScCuRu | GGA-PBE | relaxed

Cell lengths 4.849, 4.849, 4.849 Å; angles 60.00, 60.00, 60.00 degrees
Atoms (fractional coordinates):
La (0.000, 0.000, 0.000)
Sc (0.500, 0.500, 0.500)
Cu (0.750, 0.750, 0.750)
Ru (0.250, 0.250, 0.250)

Output
Electronic total energy, eV/atom: -6.379
SG: No. 216

=====

LaCuRu2Se | GGA-PBE | relaxed

Cell lengths 4.656, 4.656, 4.625 Å; angles 90.00, 90.00, 90.00 degrees
Atoms (fractional coordinates):
La (0.000, 0.000, 0.000)
Cu (0.500, 0.500, 0.000)
Ru (0.000, 0.500, 0.500)
Ru (0.500, 0.000, 0.500)
Se (0.500, 0.500, 0.500)

Output
Electronic total energy, eV/atom: -6.041
SG: No. 123
Formation energy (no corrections), meV/atom: 171